(1)
Here is TlNi3 at its PBEsol-relaxed geometry from the Alexandria database. Energies are from meta-GGA SCAN.

CIF file:
```
data_TlNi3
_space_group_name_H-M_alt 'P 1'
_space_group_IT_number 1
_cell_length_a 3.053
_cell_length_b 3.053
_cell_length_c 5.597
_cell_angle_alpha 90.00
_cell_angle_beta 90.00
_cell_angle_gamma 90.00
loop_
_space_group_symop_operation_xyz
'x,y,z'
loop_
_atom_site_label
_atom_site_fract_x
_atom_site_fract_y
_atom_site_fract_z
Ni1 0.000 0.000 0.713
Ni2 0.500 0.500 0.500
Ni3 0.000 0.000 0.287
Tl1 0.500 0.500 0.000
```

Values from the calculation:
formation enthalpy at 0 K: 1.3 eV per formula unit
raw total energy: -119.59 eV per formula unit

=====

(2)
Here is ScCd22 at its PBEsol-relaxed geometry from the Alexandria database. Energies are from meta-GGA SCAN.

CIF file:
```
data_ScCd22
_space_group_name_H-M_alt 'P 1'
_space_group_IT_number 1
_cell_length_a 11.102
_cell_length_b 11.102
_cell_length_c 11.102
_cell_angle_alpha 60.00
_cell_angle_beta 60.00
_cell_angle_gamma 60.00
loop_
_space_group_symop_operation_xyz
'x,y,z'
loop_
_atom_site_label
_atom_site_fract_x
_atom_site_fract_y
_atom_site_fract_z
Cd1 0.442 0.183 0.442
Cd2 0.442 0.932 0.442
Cd3 0.932 0.442 0.183
Cd4 0.183 0.442 0.932
Cd5 0.932 0.183 0.442
Cd6 0.183 0.932 0.442
Cd7 0.442 0.442 0.932
Cd8 0.442 0.442 0.183
Cd9 0.442 0.183 0.932
Cd10 0.442 0.932 0.183
Cd11 0.183 0.442 0.442
Cd12 0.932 0.442 0.442
Cd13 0.808 0.318 0.808
Cd14 0.808 0.067 0.808
Cd15 0.318 0.808 0.067
Cd16 0.067 0.808 0.318
Cd17 0.318 0.808 0.808
Cd18 0.067 0.808 0.808
Cd19 0.808 0.067 0.318
Cd20 0.808 0.318 0.067
Cd21 0.808 0.808 0.318
Cd22 0.808 0.808 0.067
Cd23 0.067 0.318 0.808
Cd24 0.318 0.067 0.808
Cd25 0.892 0.892 0.608
Cd26 0.608 0.608 0.892
Cd27 0.608 0.892 0.892
Cd28 0.892 0.608 0.608
Cd29 0.608 0.892 0.608
Cd30 0.892 0.608 0.892
Cd31 0.358 0.642 0.642
Cd32 0.642 0.358 0.358
Cd33 0.642 0.642 0.358
Cd34 0.358 0.358 0.642
Cd35 0.642 0.358 0.642
Cd36 0.358 0.642 0.358
Cd37 0.125 0.625 0.125
Cd38 0.125 0.125 0.125
Cd39 0.125 0.125 0.625
Cd40 0.625 0.125 0.125
Cd41 0.625 0.125 0.625
Cd42 0.625 0.625 0.625
Cd43 0.625 0.625 0.125
Cd44 0.125 0.625 0.625
Sc1 0.250 0.250 0.250
Sc2 0.000 0.000 0.000
```

Values from the calculation:
formation enthalpy at 0 K: -0.4 eV per formula unit
raw total energy: -683.79 eV per formula unit

=====

(3)
Here is FeNiB2 at its PBEsol-relaxed geometry from the Alexandria database. Energies are from meta-GGA SCAN.

CIF file:
```
data_FeNiB2
_space_group_name_H-M_alt 'P 1'
_space_group_IT_number 1
_cell_length_a 4.376
_cell_length_b 4.376
_cell_length_c 5.342
_cell_angle_alpha 114.17
_cell_angle_beta 114.17
_cell_angle_gamma 90.00
loop_
_space_group_symop_operation_xyz
'x,y,z'
loop_
_atom_site_label
_atom_site_fract_x
_atom_site_fract_y
_atom_site_fract_z
Ni1 0.250 0.750 0.500
Ni2 0.000 0.000 0.000
B1 0.383 0.875 0.250
B2 0.867 0.375 0.250
B3 0.125 0.133 0.750
B4 0.625 0.617 0.750
Fe1 0.750 0.250 0.500
Fe2 0.500 0.500 0.000
```

Values from the calculation:
formation enthalpy at 0 K: 2.9 eV per formula unit
raw total energy: -46.30 eV per formula unit

=====

(4)
Here is Na2CuP4O12 at its PBEsol-relaxed geometry from the Alexandria database. Energies are from meta-GGA SCAN.

CIF file:
```
data_Na2CuP4O12
_space_group_name_H-M_alt 'P 1'
_space_group_IT_number 1
_cell_length_a 7.814
_cell_length_b 8.163
_cell_length_c 8.163
_cell_angle_alpha 109.48
_cell_angle_beta 92.88
_cell_angle_gamma 92.88
loop_
_space_group_symop_operation_xyz
'x,y,z'
loop_
_atom_site_label
_atom_site_fract_x
_atom_site_fract_y
_atom_site_fract_z
Na1 0.306 0.470 0.183
Na2 0.694 0.530 0.817
Na3 0.806 0.183 0.470
Na4 0.194 0.817 0.530
Cu1 0.750 0.862 0.138
Cu2 0.250 0.138 0.862
P1 0.178 0.066 0.213
P2 0.322 0.787 0.934
P3 0.678 0.213 0.066
P4 0.877 0.552 0.240
P5 0.377 0.240 0.552
P6 0.623 0.760 0.448
P7 0.822 0.934 0.787
P8 0.123 0.448 0.760
O1 0.838 0.838 0.916
O2 0.250 0.878 0.122
O3 0.027 0.044 0.309
O4 0.750 0.603 0.397
O5 0.186 0.373 0.897
O6 0.473 0.691 0.956
O7 0.338 0.916 0.838
O8 0.662 0.084 0.162
O9 0.341 0.165 0.345
O10 0.314 0.103 0.627
O11 0.558 0.312 0.589
O12 0.814 0.627 0.103
O13 0.942 0.411 0.688
O14 0.058 0.589 0.312
O15 0.750 0.122 0.878
O16 0.841 0.345 0.165
O17 0.659 0.835 0.655
O18 0.973 0.956 0.691
O19 0.686 0.897 0.373
O20 0.159 0.655 0.835
O21 0.442 0.688 0.411
O22 0.162 0.162 0.084
O23 0.250 0.397 0.603
O24 0.527 0.309 0.044
```

Values from the calculation:
raw total energy: -183.22 eV per formula unit
raw formation energy: -2.2749 eV per atom

=====

(5)
Here is LiYMg30O32 at its PBEsol-relaxed geometry from the Alexandria database. Energies are from meta-GGA SCAN.

CIF file:
```
data_LiYMg30O32
_space_group_name_H-M_alt 'P 1'
_space_group_IT_number 1
_cell_length_a 8.469
_cell_length_b 8.469
_cell_length_c 8.476
_cell_angle_alpha 90.00
_cell_angle_beta 90.00
_cell_angle_gamma 90.00
loop_
_space_group_symop_operation_xyz
'x,y,z'
loop_
_atom_site_label
_atom_site_fract_x
_atom_site_fract_y
_atom_site_fract_z
Li1 0.000 0.000 0.500
Y1 0.000 0.000 0.000
Mg1 0.000 0.500 0.000
Mg2 0.000 0.500 0.500
Mg3 0.500 0.000 0.000
Mg4 0.500 0.000 0.500
Mg5 0.500 0.500 0.000
Mg6 0.500 0.500 0.500
Mg7 0.000 0.252 0.260
Mg8 0.000 0.252 0.740
Mg9 0.000 0.748 0.260
Mg10 0.000 0.748 0.740
Mg11 0.500 0.250 0.252
Mg12 0.500 0.250 0.748
Mg13 0.500 0.750 0.252
Mg14 0.500 0.750 0.748
Mg15 0.252 0.000 0.260
Mg16 0.252 0.000 0.740
Mg17 0.250 0.500 0.252
Mg18 0.250 0.500 0.748
Mg19 0.748 0.000 0.260
Mg20 0.748 0.000 0.740
Mg21 0.750 0.500 0.252
Mg22 0.750 0.500 0.748
Mg23 0.255 0.255 0.000
Mg24 0.248 0.248 0.500
Mg25 0.255 0.745 0.000
Mg26 0.248 0.752 0.500
Mg27 0.745 0.255 0.000
Mg28 0.752 0.248 0.500
Mg29 0.745 0.745 0.000
Mg30 0.752 0.752 0.500
O1 0.259 0.000 0.000
O2 0.258 0.000 0.500
O3 0.251 0.500 0.000
O4 0.251 0.500 0.500
O5 0.741 0.000 0.000
O6 0.742 0.000 0.500
O7 0.749 0.500 0.000
O8 0.749 0.500 0.500
O9 0.250 0.250 0.249
O10 0.250 0.250 0.751
O11 0.250 0.750 0.249
O12 0.250 0.750 0.751
O13 0.750 0.250 0.249
O14 0.750 0.250 0.751
O15 0.750 0.750 0.249
O16 0.750 0.750 0.751
O17 0.000 0.000 0.257
O18 0.000 0.000 0.743
O19 0.000 0.500 0.249
O20 0.000 0.500 0.751
O21 0.500 0.000 0.249
O22 0.500 0.000 0.751
O23 0.500 0.500 0.249
O24 0.500 0.500 0.751
O25 0.000 0.259 0.000
O26 0.000 0.258 0.500
O27 0.000 0.741 0.000
O28 0.000 0.742 0.500
O29 0.500 0.251 0.000
O30 0.500 0.251 0.500
O31 0.500 0.749 0.000
O32 0.500 0.749 0.500
```

Values from the calculation:
raw total energy: -571.10 eV per formula unit
raw formation energy: -3.0041 eV per atom

=====

(6)
Here is YAl2Ir at its PBEsol-relaxed geometry from the Alexandria database. Energies are from meta-GGA SCAN.

CIF file:
```
data_YAl2Ir
_space_group_name_H-M_alt 'P 1'
_space_group_IT_number 1
_cell_length_a 2.987
_cell_length_b 4.961
_cell_length_c 5.744
_cell_angle_alpha 115.59
_cell_angle_beta 105.07
_cell_angle_gamma 90.00
loop_
_space_group_symop_operation_xyz
'x,y,z'
loop_
_atom_site_label
_atom_site_fract_x
_atom_site_fract_y
_atom_site_fract_z
Y1 0.000 0.500 0.000
Ir1 0.500 0.000 0.000
Al1 0.788 0.788 0.576
Al2 0.212 0.212 0.424
```

Values from the calculation:
formation enthalpy at 0 K: -2.3 eV per formula unit
raw total energy: -116.79 eV per formula unit

=====

(7)
Here is InSbTe2Ru at its PBEsol-relaxed geometry from the Alexandria database. Energies are from meta-GGA SCAN.

CIF file:
```
data_InSbTe2Ru
_space_group_name_H-M_alt 'P 1'
_space_group_IT_number 1
_cell_length_a 5.392
_cell_length_b 5.492
_cell_length_c 5.492
_cell_angle_alpha 90.00
_cell_angle_beta 90.00
_cell_angle_gamma 90.00
loop_
_space_group_symop_operation_xyz
'x,y,z'
loop_
_atom_site_label
_atom_site_fract_x
_atom_site_fract_y
_atom_site_fract_z
Sb1 0.500 0.000 0.000
Te1 0.000 0.000 0.500
Te2 0.000 0.500 0.000
Ru1 0.500 0.500 0.500
In1 0.000 0.000 0.000
```

Values from the calculation:
raw total energy: -173.03 eV per formula unit
raw formation energy: 1.3891 eV per atom

=====

(8)
Here is TlTeF5 at its PBEsol-relaxed geometry from the Alexandria database. Energies are from meta-GGA SCAN.

CIF file:
```
data_TlTeF5
_space_group_name_H-M_alt 'P 1'
_space_group_IT_number 1
_cell_length_a 4.834
_cell_length_b 6.014
_cell_length_c 16.570
_cell_angle_alpha 90.00
_cell_angle_beta 90.00
_cell_angle_gamma 90.00
loop_
_space_group_symop_operation_xyz
'x,y,z'
loop_
_atom_site_label
_atom_site_fract_x
_atom_site_fract_y
_atom_site_fract_z
F1 0.658 0.250 0.924
F2 0.158 0.750 0.576
F3 0.342 0.750 0.076
F4 0.842 0.250 0.424
F5 0.241 0.015 0.903
F6 0.741 0.985 0.597
F7 0.759 0.515 0.097
F8 0.259 0.485 0.403
F9 0.759 0.985 0.097
F10 0.259 0.015 0.403
F11 0.241 0.485 0.903
F12 0.741 0.515 0.597
F13 0.686 0.020 0.798
F14 0.186 0.980 0.702
F15 0.314 0.520 0.202
F16 0.814 0.480 0.298
F17 0.314 0.980 0.202
F18 0.814 0.020 0.298
F19 0.686 0.480 0.798
F20 0.186 0.520 0.702
Te1 0.413 0.250 0.832
Te2 0.913 0.750 0.668
Te3 0.587 0.750 0.168
Te4 0.087 0.250 0.332
Tl1 0.216 0.250 0.064
Tl2 0.716 0.750 0.436
Tl3 0.784 0.750 0.936
Tl4 0.284 0.250 0.564
```

Values from the calculation:
raw total energy: -142.40 eV per formula unit
raw formation energy: -2.1559 eV per atom

=====

(9)
Here is BaHg3Te at its PBEsol-relaxed geometry from the Alexandria database. Energies are from meta-GGA SCAN.

CIF file:
```
data_BaHg3Te
_space_group_name_H-M_alt 'P 1'
_space_group_IT_number 1
_cell_length_a 6.088
_cell_length_b 6.088
_cell_length_c 6.088
_cell_angle_alpha 90.00
_cell_angle_beta 90.00
_cell_angle_gamma 90.00
loop_
_space_group_symop_operation_xyz
'x,y,z'
loop_
_atom_site_label
_atom_site_fract_x
_atom_site_fract_y
_atom_site_fract_z
Te1 0.500 0.500 0.500
Hg1 0.000 0.500 0.000
Hg2 0.000 0.000 0.500
Hg3 0.500 0.000 0.000
Ba1 0.000 0.000 0.000
```

Values from the calculation:
raw total energy: -280.15 eV per formula unit
raw formation energy: 0.2299 eV per atom

=====

(10)
Here is CeGa6Ni at its PBEsol-relaxed geometry from the Alexandria database. Energies are from meta-GGA SCAN.

CIF file:
```
data_CeGa6Ni
_space_group_name_H-M_alt 'P 1'
_space_group_IT_number 1
_cell_length_a 4.194
_cell_length_b 4.194
_cell_length_c 7.779
_cell_angle_alpha 90.00
_cell_angle_beta 90.00
_cell_angle_gamma 90.00
loop_
_space_group_symop_operation_xyz
'x,y,z'
loop_
_atom_site_label
_atom_site_fract_x
_atom_site_fract_y
_atom_site_fract_z
Ni1 0.000 0.000 0.500
Ga1 0.500 0.000 0.666
Ga2 0.000 0.500 0.666
Ga3 0.500 0.500 0.150
Ga4 0.500 0.500 0.850
Ga5 0.000 0.500 0.334
Ga6 0.500 0.000 0.334
Ce1 0.000 0.000 0.000
```

Values from the calculation:
formation enthalpy at 0 K: -4.1 eV per formula unit
raw total energy: -162.89 eV per formula unit

=====

(11)
Here is Sn2Pb2O7 at its PBEsol-relaxed geometry from the Alexandria database. Energies are from meta-GGA SCAN.

CIF file:
```
data_Sn2Pb2O7
_space_group_name_H-M_alt 'P 1'
_space_group_IT_number 1
_cell_length_a 7.496
_cell_length_b 7.496
_cell_length_c 7.496
_cell_angle_alpha 60.00
_cell_angle_beta 60.00
_cell_angle_gamma 60.00
loop_
_space_group_symop_operation_xyz
'x,y,z'
loop_
_atom_site_label
_atom_site_fract_x
_atom_site_fract_y
_atom_site_fract_z
Sn1 0.625 0.625 0.625
Sn2 0.625 0.625 0.125
Sn3 0.625 0.125 0.625
Sn4 0.125 0.625 0.625
Pb1 0.125 0.125 0.125
Pb2 0.125 0.125 0.625
Pb3 0.125 0.625 0.125
Pb4 0.625 0.125 0.125
O1 0.708 0.708 0.292
O2 0.292 0.292 0.708
O3 0.708 0.292 0.708
O4 0.292 0.708 0.292
O5 0.708 0.292 0.292
O6 0.292 0.708 0.708
O7 0.542 0.542 0.958
O8 0.958 0.958 0.542
O9 0.542 0.958 0.542
O10 0.958 0.542 0.958
O11 0.542 0.958 0.958
O12 0.958 0.542 0.542
O13 0.000 0.000 0.000
O14 0.250 0.250 0.250
```

Values from the calculation:
raw total energy: -282.06 eV per formula unit
raw formation energy: -1.3668 eV per atom

=====

(12)
Here is KMg2Sb2 at its PBEsol-relaxed geometry from the Alexandria database. Energies are from meta-GGA SCAN.

CIF file:
```
data_KMg2Sb2
_space_group_name_H-M_alt 'P 1'
_space_group_IT_number 1
_cell_length_a 4.764
_cell_length_b 4.764
_cell_length_c 7.323
_cell_angle_alpha 108.99
_cell_angle_beta 108.99
_cell_angle_gamma 90.00
loop_
_space_group_symop_operation_xyz
'x,y,z'
loop_
_atom_site_label
_atom_site_fract_x
_atom_site_fract_y
_atom_site_fract_z
Sb1 0.376 0.376 0.752
Sb2 0.624 0.624 0.248
K1 0.000 0.000 0.000
Mg1 0.250 0.750 0.500
Mg2 0.750 0.250 0.500
```

Values from the calculation:
raw total energy: -95.30 eV per formula unit
raw formation energy: -0.5010 eV per atom